# LiSc2SnS

A relaxed structure of LiSc2SnS (GGA-PBE, Alexandria).

ρ: 3.91 g/cm3
Calculated volume: 105.0 Å³ per cell
Calculated total energy: -5.51 eV/atom

POSCAR file:
```
LiSc2SnS
1.0
-0.784 -4.054 -2.587
3.565 -2.249 2.444
-2.931 -1.362 3.022
S Li Sc Sn
1 1 2 1
direct
0.000 0.000 0.000
0.000 0.000 0.500
0.000 0.500 0.000
0.500 0.000 0.000
0.500 0.500 0.500
```